A plane-wave DFT calculation with GGA-PBE was carried out for a relaxed structure of La2SiOs.

a b c (Å): 6.5542 6.5542 6.5542
angles (deg): 147.02 139.61 53.09
Fractional positions:
La (0.0011, 0.0011, 0.0000)
La (0.7271, 0.2271, 0.5000)
Os (0.4522, 0.4522, 0.0000)
Si (0.3197, 0.8197, 0.5000)

## Properties
Final energy = -6.970 eV/atom
ΔE_f (raw) = -0.343 eV/atom
Space group = Imm2



A plane-wave DFT calculation with GGA-PBE was carried out for a relaxed structure of LuPuMn4.

a b c (Å): 5.0721 5.0721 5.0721
angles (deg): 60.00 60.00 60.00
Fractional positions:
Lu (0.0000, 0.0000, 0.0000)
Mn (0.6250, 0.6250, 0.1249)
Mn (0.6250, 0.1249, 0.6250)
Mn (0.6250, 0.6250, 0.6250)
Mn (0.1249, 0.6250, 0.6250)
Pu (0.2500, 0.2500, 0.2500)

## Properties
Final energy = -9.163 eV/atom
Energy of formation from the pure elements = 0.09 eV/atom
Space group = F-43m



A plane-wave DFT calculation with GGA-PBE was carried out for a relaxed structure of Ba2Tl3Pd4.

a b c (Å): 6.4189 7.8390 9.4415
angles (deg): 90.00 109.87 90.00
Fractional positions:
Ba (0.1039, 0.5845, 0.2079)
Ba (0.8961, 0.4155, 0.7921)
Ba (0.3961, 0.0845, 0.7921)
Ba (0.6039, 0.9155, 0.2079)
Tl (0.0000, 0.0000, 0.0000)
Tl (0.5000, 0.5000, 0.0000)
Tl (0.5144, 0.7500, 0.5287)
Tl (0.9856, 0.2500, 0.4713)
Tl (0.4856, 0.2500, 0.4713)
Tl (0.0144, 0.7500, 0.5287)
Pd (0.6768, 0.7500, 0.8537)
Pd (0.8232, 0.2500, 0.1463)
Pd (0.3232, 0.2500, 0.1463)
Pd (0.1768, 0.7500, 0.8537)
Pd (0.1645, 0.9918, 0.3289)
Pd (0.8355, 0.0082, 0.6711)
Pd (0.3355, 0.4918, 0.6711)
Pd (0.6645, 0.5082, 0.3289)

## Properties
Final energy = -3.938 eV/atom
Energy of formation from the pure elements = -0.41 eV/atom
Space group = Cmce